PBE+U Ag3Te2WF6, optimized geometry; space-group type = C2/m (12); E = -4.246 eV/atom
1.0
7.556 -3.468 0.000
7.556 3.468 0.000
-0.602 0.000 4.387
Ag Te W F
3 2 1 6
direct
0.000 0.000 0.000
0.000 0.500 0.500
0.500 0.000 0.500
0.192 0.192 0.974
0.808 0.808 0.026
0.500 0.500 0.500
0.218 0.637 0.635
0.363 0.782 0.365
0.418 0.418 0.136
0.582 0.582 0.864
0.637 0.218 0.635
0.782 0.363 0.365